GGA-PBE TaNiTe2, optimized geometry; SG = Imm2; total moment = 0.0 μB/f.u.; ΔE_f (raw) = -119 meV per atom
1.0
3.636 0.000 0.000
0.000 3.670 0.000
0.000 0.000 15.101
Ta Ni Te
2 2 4
Direct
0.000 0.000 0.000
0.500 0.500 0.500
0.000 0.500 0.382
0.500 0.000 0.882
0.000 0.000 0.591
0.000 0.500 0.853
0.500 0.000 0.353
0.500 0.500 0.091

=====

GGA-PBE Ta2NiTe, optimized geometry; SG = F-43m; total moment = 0.0 μB/f.u.; ΔE_f (raw) = 480 meV per atom
1.0
6.550 0.000 0.000
0.000 6.550 0.000
0.000 0.000 6.550
Ta Ni Te
8 4 4
Direct
0.000 0.000 0.000
0.000 0.500 0.500
0.250 0.250 0.250
0.250 0.750 0.750
0.500 0.000 0.500
0.500 0.500 0.000
0.750 0.250 0.750
0.750 0.750 0.250
0.250 0.250 0.750
0.250 0.750 0.250
0.750 0.250 0.250
0.750 0.750 0.750
0.000 0.000 0.500
0.000 0.500 0.000
0.500 0.000 0.000
0.500 0.500 0.500

=====

GGA-PBE TaNiTe, optimized geometry; SG = C2/m; total moment = 0.0 μB/f.u.; ΔE_f (raw) = -215 meV per atom
1.0
6.970 0.000 0.000
0.000 4.026 0.000
-2.337 0.000 9.634
Ta Ni Te
4 4 4
Direct
0.200 0.000 0.098
0.300 0.500 0.902
0.700 0.500 0.098
0.800 0.000 0.902
0.105 0.000 0.818
0.395 0.500 0.182
0.605 0.500 0.818
0.895 0.000 0.182
0.104 0.500 0.309
0.396 0.000 0.691
0.604 0.000 0.309
0.896 0.500 0.691

=====

GGA-PBE TaNiTe2, optimized geometry; SG = P2/m; total moment = 0.0 μB/f.u.; ΔE_f (raw) = 104 meV per atom
1.0
3.508 0.000 0.000
0.000 3.475 0.000
-1.156 0.000 6.463
Ta Ni Te
1 1 2
Direct
0.000 0.000 0.000
0.000 0.000 0.500
0.395 0.500 0.748
0.605 0.500 0.252

=====

GGA-PBE TaNiTe2, optimized geometry; SG = Immm; total moment = 0.0 μB/f.u.; ΔE_f (raw) = 235 meV per atom
1.0
3.763 0.000 0.000
0.000 4.998 0.000
0.000 0.000 8.297
Ta Ni Te
2 2 4
Direct
0.000 0.000 0.000
0.500 0.500 0.500
0.000 0.000 0.500
0.500 0.500 0.000
0.000 0.500 0.203
0.000 0.500 0.797
0.500 0.000 0.297
0.500 0.000 0.703

=====

GGA-PBE Ta2NiTe, optimized geometry; SG = I-4m2; total moment = 0.0 μB/f.u.; ΔE_f (raw) = 274 meV per atom
1.0
4.007 0.000 0.000
0.000 4.007 0.000
0.000 0.000 8.628
Ta Ni Te
4 2 2
Direct
0.000 0.000 0.000
0.000 0.500 0.250
0.500 0.000 0.750
0.500 0.500 0.500
0.000 0.000 0.500
0.500 0.500 0.000
0.000 0.500 0.750
0.500 0.000 0.250

=====

GGA-PBE Ta2NiTe, optimized geometry; SG = Cmmm; total moment = 0.0 μB/f.u.; ΔE_f (raw) = 224 meV per atom
1.0
5.933 0.000 0.000
0.000 7.217 0.000
0.000 0.000 3.233
Ta Ni Te
4 2 2
Direct
0.250 0.250 0.000
0.250 0.750 0.000
0.750 0.250 0.000
0.750 0.750 0.000
0.000 0.000 0.500
0.500 0.500 0.500
0.000 0.500 0.500
0.500 0.000 0.500

=====

GGA-PBE Ta2NiTe, optimized geometry; SG = P4/mmm; total moment = 0.0 μB/f.u.; ΔE_f (raw) = 258 meV per atom
1.0
4.635 0.000 0.000
0.000 4.635 0.000
0.000 0.000 3.217
Ta Ni Te
2 1 1
Direct
0.000 0.500 0.000
0.500 0.000 0.000
0.000 0.000 0.500
0.500 0.500 0.500

=====

GGA-PBE TaNiTe2, optimized geometry; SG = R3m; total moment = 0.0 μB/f.u.; ΔE_f (raw) = -258 meV per atom
1.0
3.913 0.000 0.000
-1.957 3.389 0.000
0.000 0.000 21.575
Ta Ni Te
3 3 6
Direct
0.000 0.000 0.000
0.333 0.667 0.667
0.667 0.333 0.333
0.000 0.000 0.283
0.333 0.667 0.949
0.667 0.333 0.616
0.000 0.000 0.565
0.000 0.000 0.748
0.333 0.667 0.231
0.333 0.667 0.415
0.667 0.333 0.082
0.667 0.333 0.898

=====

GGA-PBE TaNiTe2, optimized geometry; SG = Pmna; total moment = 0.0 μB/f.u.; ΔE_f (raw) = -384 meV per atom
1.0
7.984 0.000 0.000
0.000 7.712 0.000
0.000 0.000 6.280
Ta Ni Te
4 4 8
Direct
0.207 0.000 0.000
0.293 0.000 0.500
0.707 0.000 0.500
0.793 0.000 0.000
0.000 0.112 0.355
0.000 0.888 0.645
0.500 0.112 0.145
0.500 0.888 0.855
0.000 0.214 0.753
0.000 0.786 0.247
0.250 0.304 0.250
0.250 0.696 0.750
0.500 0.214 0.747
0.500 0.786 0.253
0.750 0.304 0.250
0.750 0.696 0.750

=====

GGA-PBE TaNiTe2, optimized geometry; SG = P4/mmm; total moment = 0.0 μB/f.u.; ΔE_f (raw) = 287 meV per atom
1.0
4.728 0.000 0.000
0.000 4.728 0.000
0.000 0.000 3.432
Ta Ni Te
1 1 2
Direct
0.000 0.000 0.000
0.500 0.500 0.000
0.000 0.500 0.500
0.500 0.000 0.500

=====

GGA-PBE Ta2NiTe, optimized geometry; SG = Cm; total moment = 0.0 μB/f.u.; ΔE_f (raw) = 124 meV per atom
1.0
9.739 0.000 0.000
0.000 3.308 0.000
-1.988 0.000 4.283
Ta Ni Te
4 2 2
Direct
0.000 0.000 0.000
0.218 0.000 0.677
0.500 0.500 0.000
0.718 0.500 0.677
0.231 0.500 0.155
0.731 0.000 0.155
0.452 0.000 0.455
0.952 0.500 0.455

=====

GGA-PBE TaNiTe2, optimized geometry; SG = Cm; total moment = 0.4 μB/f.u.; ΔE_f (raw) = -315 meV per atom
1.0
6.954 0.000 0.000
0.000 4.015 0.000
-0.067 0.000 7.335
Ta Ni Te
2 2 4
Direct
0.000 0.000 0.000
0.500 0.500 0.000
0.165 0.500 0.869
0.665 0.000 0.869
0.169 0.500 0.233
0.331 0.000 0.721
0.669 0.000 0.233
0.831 0.500 0.721

=====

GGA-PBE TaNi2Te8, optimized geometry; SG = C2/m; total moment = 0.0 μB/f.u.; ΔE_f (raw) = -69 meV per atom
1.0
6.973 -4.064 0.000
6.973 4.064 0.000
-0.408 0.000 5.588
Ta Ni Te
1 2 8
Direct
0.000 0.000 0.000
0.173 0.173 0.834
0.827 0.827 0.166
0.158 0.158 0.328
0.175 0.643 0.236
0.351 0.351 0.855
0.357 0.825 0.764
0.643 0.175 0.236
0.649 0.649 0.145
0.825 0.357 0.764
0.842 0.842 0.672

=====

GGA-PBE TaNiTe2, optimized geometry; SG = C2/m; total moment = 0.0 μB/f.u.; ΔE_f (raw) = 254 meV per atom
1.0
8.874 0.000 0.000
0.000 3.463 0.000
-0.431 0.000 5.533
Ta Ni Te
2 2 4
Direct
0.000 0.000 0.000
0.500 0.500 0.000
0.000 0.500 0.500
0.500 0.000 0.500
0.209 0.500 0.238
0.291 0.000 0.762
0.709 0.000 0.238
0.791 0.500 0.762

=====

GGA-PBE TaNiTe, optimized geometry; SG = P-6m2; total moment = 0.2 μB/f.u.; ΔE_f (raw) = 217 meV per atom
1.0
3.651 0.000 0.000
-1.825 3.162 0.000
0.000 0.000 10.066
Ta Ni Te
2 2 2
Direct
0.000 0.000 0.141
0.000 0.000 0.859
0.000 0.000 0.500
0.333 0.667 0.000
0.333 0.667 0.333
0.333 0.667 0.667

=====

GGA-PBE TaNiTe, optimized geometry; SG = F-43m; total moment = 0.0 μB/f.u.; ΔE_f (raw) = 406 meV per atom
1.0
6.292 0.000 0.000
0.000 6.292 0.000
0.000 0.000 6.292
Ta Ni Te
4 4 4
Direct
0.000 0.000 0.000
0.000 0.500 0.500
0.500 0.000 0.500
0.500 0.500 0.000
0.250 0.250 0.250
0.250 0.750 0.750
0.750 0.250 0.750
0.750 0.750 0.250
0.250 0.250 0.750
0.250 0.750 0.250
0.750 0.250 0.250
0.750 0.750 0.750

=====

GGA-PBE TaNiTe, optimized geometry; SG = P3m1; total moment = 0.0 μB/f.u.; ΔE_f (raw) = 249 meV per atom
1.0
4.131 0.000 0.000
-2.065 3.577 0.000
0.000 0.000 3.774
Ta Ni Te
1 1 1
Direct
0.000 0.000 0.000
0.333 0.667 0.833
0.667 0.333 0.492

=====

GGA-PBE TaNiTe2, optimized geometry; SG = I-4m2; total moment = 0.0 μB/f.u.; ΔE_f (raw) = 470 meV per atom
1.0
3.991 0.000 0.000
0.000 3.991 0.000
0.000 0.000 9.949
Ta Ni Te
2 2 4
Direct
0.000 0.000 0.000
0.500 0.500 0.500
0.000 0.500 0.250
0.500 0.000 0.750
0.000 0.000 0.500
0.000 0.500 0.750
0.500 0.000 0.250
0.500 0.500 0.000

=====

GGA-PBE Ta2NiTe, optimized geometry; SG = Pmmm; total moment = 0.0 μB/f.u.; ΔE_f (raw) = 185 meV per atom
1.0
3.555 0.000 0.000
0.000 4.359 0.000
0.000 0.000 4.450
Ta Ni Te
2 1 1
Direct
0.000 0.000 0.000
0.500 0.500 0.000
0.000 0.500 0.500
0.500 0.000 0.500